The following is a DFT calculation (PBE+U) of crystalline NaLaFe4O12 at its relaxed geometry.

```
NaLaFe4O12
1.0
2.675 4.649 -0.531
-4.249 2.155 -2.519
-2.798 2.381 6.756
Na La Fe O
1 1 4 12
direct
0.000 0.000 0.000 Na
0.500 0.500 0.500 La
0.000 0.500 0.756 Fe
0.000 0.500 0.244 Fe
0.500 0.000 0.244 Fe
0.500 0.000 0.756 Fe
0.255 0.256 0.742 O
0.744 0.745 0.742 O
0.744 0.745 0.258 O
0.255 0.256 0.258 O
0.743 0.257 0.742 O
0.256 0.744 0.742 O
0.256 0.744 0.258 O
0.743 0.257 0.258 O
0.000 0.501 0.000 O
0.999 0.500 0.500 O
0.499 0.000 0.000 O
0.500 0.001 0.500 O
```

Output
The total energy comes out at -107.780 eV for the cell shown. Its space group is No. 123. Its calculated volume is 12.4 A^3/atom.